1.
Below is an optimized crystal structure of Mn2GaN, with properties calculated at the PBE-GGA level.

**Raw formation energy**: -0.145 eV/atom
**Space group**: Cm (8)
**Fermi-level density of states**: 0.5325 states/eV/atom
**Raw total energy**: -7.568 eV per atom

Lattice parameters (Å, degrees): 5.2819 2.7608 12.8944 90.00 98.57 90.00
With the nearest neighbours (Å) after each atom.
Element x y z (fractional)
Mn  0.2013  0.0000  0.1327  3 N 1.91-1.93
Mn  0.2013  0.5000  0.6327  3 N 1.91-1.93
Mn  0.8448  0.0000  0.9759  2 N 1.93
Mn  0.8448  0.5000  0.4759  2 N 1.93
Mn  0.4954  0.0000  0.7907  2 N 1.89
Mn  0.4954  0.5000  0.2907  2 N 1.89
Mn  0.3156  0.0000  0.4394  2 N 1.90-1.98
Mn  0.3156  0.5000  0.9394  2 N 1.90-1.98
Ga  0.6352  0.0000  0.6127  6 Mn 2.51-2.72, 1 N 2.66, 2 Ga 2.76
Ga  0.6352  0.5000  0.1127  6 Mn 2.51-2.72, 1 N 2.66, 2 Ga 2.76
Ga  0.8843  0.0000  0.3053  1 N 1.98
Ga  0.8843  0.5000  0.8053  1 N 1.98
N  0.0758  0.0000  0.5360  5 Mn 1.90-1.93
N  0.0758  0.5000  0.0360  5 Mn 1.90-1.93
N  0.2487  0.0000  0.2839  4 Mn 1.89-1.98, 1 Ga 1.98
N  0.2487  0.5000  0.7839  4 Mn 1.89-1.98, 1 Ga 1.98

2.
Below is an optimized crystal structure of Cd2BiN, with properties calculated at the PBE-GGA level.

**E above lowest polymorph**: 0.00 eV/f.u.
**Raw formation energy**: 0.490 eV/atom
**Space group**: I-42d (122)
**Fermi-level density of states**: 0.0626 states/eV/atom
**Raw total energy**: -3.019 eV per atom

Lattice parameters (Å, degrees): 6.4281 6.4281 6.6517 61.11 61.11 90.00
With the nearest neighbours (Å) after each atom.
Element x y z (fractional)
N  0.5000  0.5000  0.0000  4 Cd 2.16
N  0.2500  0.7500  0.5000  4 Cd 2.16
Bi  0.0000  0.0000  0.0000  4 Cd 3.17
Bi  0.7500  0.2500  0.5000  4 Cd 3.17
Cd  0.4946  0.1250  0.2500  2 N 2.16
Cd  0.2554  0.6250  0.2500  2 N 2.16
Cd  0.3750  0.5054  0.7500  2 N 2.16
Cd  0.8750  0.7446  0.7500  2 N 2.16